Material: K2YMo3O12
Method: DFT, PBE with a Hubbard U
State: relaxed

The structure belongs to space group R-3m (No. 166, hexagonal axes); the cell edges are 7.5131, 7.5131 and 18.7155 Å and the angles 90.00°, 90.00° and 120.00°. The asymmetric unit holds K at (0.0000, 0.0000, 0.1559), Y at (0.0000, 0.0000, 0.5000), Mo at (0.0000, 0.5000, 0.0000), O at (0.0419, 0.5209, 0.1002) and O at (0.0920, 0.5460, 0.3443).

The calculation puts the density of states at the Fermi level at 0.585 states/eV per atom. The calculated total energy is -6.79 eV per atom.